Entry from Alexandria: an optimized crystal structure of MgReO2F (GGA-PBE).

Calculated values
The value obtained for the final energy is -0.217 Ha/atom.

```
data_MgReO2F
_chemical_formula_sum 'Mg1 Re1 O2 F1'
_symmetry_space_group_name_H-M 'P 4/m m m'
_symmetry_Int_Tables_number 123
_symmetry_space_group_name_Hall '-P 4 2'
_cell_length_a 3.9641
_cell_length_b 3.9641
_cell_length_c 3.5956
_cell_angle_alpha 90.00
_cell_angle_beta 90.00
_cell_angle_gamma 90.00
loop_
_atom_site_label
_atom_site_fract_x
_atom_site_fract_y
_atom_site_fract_z
Mg1 0.0000 0.0000 0.0000
Re1 0.5000 0.5000 0.5000
O1 0.0000 0.5000 0.0000
F1 0.0000 0.0000 0.5000
```